No. 1
Here is an optimized crystal structure of CsNaNdTe2 from Alexandria. Energies are from PBE-GGA.

* space-group type: No. 67
* formation energy (no corrections): -92 kJ/mol of atoms
* final energy: -3.595 eV per atom

abc: 7.6426 6.8423 9.1953
angles: 111.84 90.00 90.00
Last column: nearest neighbours and their distance in Å.
Atoms (fractional coordinates):
Cs (0.2554, 0.7500, 0.5000)  6 Te 4.09-4.20
Cs (0.7446, 0.2500, 0.5000)  6 Te 4.09-4.20
Na (0.0000, 0.0000, 0.0000)  2 Te 2.95
Na (0.0000, 0.5000, 0.0000)  2 Te 2.95
Nd (0.5000, 0.7500, 0.0000)  4 Te 3.15, 2 Nd 3.42
Nd (0.5000, 0.2500, 0.0000)  4 Te 3.15, 2 Nd 3.42
Te (0.7208, 0.8810, 0.7619)  1 Na 2.95, 2 Nd 3.15
Te (0.7208, 0.6190, 0.2381)  1 Na 2.95, 2 Nd 3.15
Te (0.2792, 0.3810, 0.7619)  1 Na 2.95, 2 Nd 3.15
Te (0.2792, 0.1190, 0.2381)  1 Na 2.95, 2 Nd 3.15

No. 2
Here is an optimized crystal structure of HoErZnSi from Alexandria. Energies are from PBE-GGA.

* space-group type: No. 38
* formation energy (no corrections): -55 kJ/mol of atoms
* final energy: -4.533 eV per atom
* ΔE to the lowest computed polymorph: 0.00 eV/f.u.

abc: 4.1503 4.0377 5.7436
angles: 90.00 111.18 90.00
Last column: nearest neighbours and their distance in Å.
Atoms (fractional coordinates):
Ho (0.1431, 0.0000, 0.2862)  4 Zn 2.99, 3 Si 3.03-3.12
Er (0.8594, 0.5000, 0.7188)  4 Si 2.98, 3 Zn 3.08
Zn (0.5717, 0.5000, 0.1434)  2 Si 2.55
Si (0.4258, 0.0000, 0.8516)  2 Zn 2.55

No. 3
Here is an optimized crystal structure of KNbCd from Alexandria. Energies are from PBE-GGA.

* space-group type: No. 62
* final energy: -3.501 eV per atom
* ΔE to the lowest computed polymorph: 0.86 eV/f.u.

abc: 8.9965 2.9236 11.5540
angles: 90.00 90.00 90.00
Last column: nearest neighbours and their distance in Å.
Atoms (fractional coordinates):
Nb (0.4604, 0.2500, 0.4020)  4 Nb 2.79-2.92
Nb (0.0396, 0.7500, 0.9020)  4 Nb 2.79-2.92
Nb (0.5396, 0.7500, 0.5980)  4 Nb 2.79-2.92
Nb (0.9604, 0.2500, 0.0980)  4 Nb 2.79-2.92
K (0.8491, 0.2500, 0.4201)  2 K 2.92, 2 Cd 3.25
K (0.6509, 0.7500, 0.9201)  2 K 2.92, 2 Cd 3.25
K (0.1509, 0.7500, 0.5799)  2 K 2.92, 2 Cd 3.25
K (0.3491, 0.2500, 0.0799)  2 K 2.92, 2 Cd 3.25
Cd (0.8291, 0.2500, 0.7105)  2 Cd 2.92, 2 K 3.25, 4 Nb 3.26
Cd (0.6709, 0.7500, 0.2105)  2 Cd 2.92, 2 K 3.25, 4 Nb 3.26
Cd (0.1709, 0.7500, 0.2895)  2 Cd 2.92, 2 K 3.25, 4 Nb 3.26
Cd (0.3291, 0.2500, 0.7895)  2 Cd 2.92, 2 K 3.25, 4 Nb 3.26

No. 4
Here is an optimized crystal structure of MgInCo from Alexandria. Energies are from PBE-GGA.

* space-group type: No. 62
* final energy: -3.780 eV per atom

abc: 4.2104 6.2793 8.6698
angles: 90.00 90.00 90.00
Last column: nearest neighbours and their distance in Å.
Atoms (fractional coordinates):
Mg (0.2500, 0.7932, 0.3902)  3 Co 2.61-2.73, 2 In 2.88
Mg (0.7500, 0.2932, 0.1098)  3 Co 2.61-2.73, 2 In 2.88
Mg (0.2500, 0.7068, 0.8902)  3 Co 2.61-2.73, 2 In 2.88
Mg (0.7500, 0.2068, 0.6098)  3 Co 2.61-2.73, 2 In 2.88
In (0.7500, 0.7699, 0.1635)  4 Co 2.57-2.69
In (0.7500, 0.7301, 0.6635)  4 Co 2.57-2.69
In (0.2500, 0.2301, 0.8365)  4 Co 2.57-2.69
In (0.2500, 0.2699, 0.3365)  4 Co 2.57-2.69
Co (0.7500, 0.5169, 0.4101)  4 In 2.57-2.69, 3 Mg 2.61-2.73, 2 Co 2.63
Co (0.7500, 0.9831, 0.9101)  4 In 2.57-2.69, 3 Mg 2.61-2.73, 2 Co 2.63
Co (0.2500, 0.0169, 0.0899)  4 In 2.57-2.69, 3 Mg 2.61-2.73, 2 Co 2.63
Co (0.2500, 0.4831, 0.5899)  4 In 2.57-2.69, 3 Mg 2.61-2.73, 2 Co 2.63

No. 5
Here is an optimized crystal structure of SrLi9Mg3 from Alexandria. Energies are from PBE-GGA.

* space-group type: No. 12
* final energy: -1.831 eV per atom

abc: 5.9410 7.8948 7.8247
angles: 81.03 67.69 65.75
Last column: nearest neighbours and their distance in Å.
Atoms (fractional coordinates):
Sr (0.0000, 0.0000, 0.0000)  14 Li 3.66-3.95, 6 Mg 3.84-3.91
Li (0.7289, 0.7757, 0.7790)  5 Li 2.90-3.23, 3 Mg 2.97-3.01
Li (0.2711, 0.2243, 0.2210)  5 Li 2.90-3.23, 3 Mg 2.97-3.01
Li (0.4921, 0.2243, 0.7790)  5 Li 2.90-3.23, 3 Mg 2.97-3.01
Li (0.5079, 0.7757, 0.2210)  5 Li 2.90-3.23, 3 Mg 2.97-3.01
Li (0.6307, 0.3574, 0.3600)  4 Li 2.89-3.22, 3 Mg 3.12-3.16
Li (0.3693, 0.6426, 0.6400)  4 Li 2.89-3.22, 3 Mg 3.12-3.16
Li (0.0093, 0.6426, 0.3600)  4 Li 2.89-3.22, 3 Mg 3.12-3.16
Li (0.9907, 0.3574, 0.6400)  4 Li 2.89-3.22, 3 Mg 3.12-3.16
Li (0.0000, 0.5000, 0.0000)  8 Li 2.90-3.22, 2 Mg 2.97
Mg (0.5000, 0.5000, 0.0000)  10 Li 2.97-3.12
Mg (0.0000, 0.0000, 0.5000)  8 Li 2.97-3.16, 2 Mg 2.97
Mg (0.5000, 0.0000, 0.5000)  8 Li 2.97-3.16, 2 Mg 2.97

No. 6
Here is an optimized crystal structure of Sm2DySc from Alexandria. Energies are from PBE-GGA.

* space-group type: No. 59
* final energy: -5.058 eV per atom
* ΔE to the lowest computed polymorph: 0.00 eV/f.u.

abc: 5.6164 9.4639 12.3173
angles: 130.59 90.00 90.00
Last column: nearest neighbours and their distance in Å.
Atoms (fractional coordinates):
Sm (0.2500, 0.9981, 0.4136)  4 Sc 3.47-3.59, 4 Dy 3.50-3.62, 4 Sm 3.51-3.62
Sm (0.2500, 0.9981, 0.9136)  4 Sc 3.47-3.59, 4 Dy 3.50-3.62, 4 Sm 3.51-3.62
Sm (0.7502, 0.4984, 0.8345)  4 Sc 3.47-3.58, 4 Dy 3.50-3.62, 4 Sm 3.51-3.62
Sm (0.7500, 0.0019, 0.0864)  4 Sc 3.47-3.59, 4 Dy 3.50-3.62, 4 Sm 3.51-3.62
Sm (0.2498, 0.5016, 0.1655)  4 Sc 3.47-3.58, 4 Dy 3.50-3.62, 4 Sm 3.51-3.62
Sm (0.2502, 0.5016, 0.6655)  4 Sc 3.47-3.58, 4 Dy 3.50-3.62, 4 Sm 3.51-3.62
Sm (0.7500, 0.0019, 0.5864)  4 Sc 3.47-3.59, 4 Dy 3.50-3.62, 4 Sm 3.51-3.62
Sm (0.7498, 0.4984, 0.3345)  4 Sc 3.47-3.58, 4 Dy 3.50-3.62, 4 Sm 3.51-3.62
Dy (0.7501, 0.2500, 0.4545)  4 Sc 3.46-3.59, 8 Sm 3.50-3.62
Dy (0.7499, 0.2500, 0.9545)  4 Sc 3.46-3.59, 8 Sm 3.50-3.62
Dy (0.2499, 0.7500, 0.5455)  4 Sc 3.46-3.59, 8 Sm 3.50-3.62
Dy (0.2501, 0.7500, 0.0455)  4 Sc 3.46-3.59, 8 Sm 3.50-3.62
Sc (0.7501, 0.7499, 0.2090)  4 Dy 3.46-3.59, 8 Sm 3.47-3.59
Sc (0.2500, 0.2501, 0.2910)  4 Dy 3.46-3.59, 8 Sm 3.47-3.59
Sc (0.7500, 0.7499, 0.7090)  4 Dy 3.46-3.59, 8 Sm 3.47-3.59
Sc (0.2499, 0.2501, 0.7910)  4 Dy 3.46-3.59, 8 Sm 3.47-3.59

No. 7
Here is an optimized crystal structure of NdNiRh from Alexandria. Energies are from PBE-GGA.

* space-group type: No. 187
* final energy: -6.441 eV per atom

abc: 3.9663 4.1653 4.1653
angles: 120.00 90.00 90.00
Last column: nearest neighbours and their distance in Å.
Atoms (fractional coordinates):
Rh (0.1667, 0.0000, 0.0000)  3 Ni 2.40
Nd (0.6667, 0.6667, 0.3333)  6 Ni 3.12, 6 Rh 3.12
Ni (0.1666, 0.3333, 0.6667)  3 Rh 2.40

No. 8
Here is an optimized crystal structure of BaAlP2 from Alexandria. Energies are from PBE-GGA.

* space-group type: No. 119
* final energy: -4.001 eV per atom

abc: 6.0320 6.0320 6.0320
angles: 138.70 138.70 59.83
Last column: nearest neighbours and their distance in Å.
Atoms (fractional coordinates):
P (0.0000, 0.0000, 0.0000)  4 Al 3.01
P (0.2500, 0.7500, 0.5000)  4 Ba 3.01
Ba (0.7500, 0.2500, 0.5000)  4 P 3.01
Al (0.5000, 0.5000, 0.0000)  4 P 3.01

No. 9
Here is an optimized crystal structure of GaGe2Ru2 from Alexandria. Energies are from PBE-GGA.

* space-group type: No. 63
* final energy: -6.226 eV per atom

abc: 5.7144 5.7144 8.6297
angles: 99.52 99.52 138.61
Last column: nearest neighbours and their distance in Å.
Atoms (fractional coordinates):
Ga (0.8846, 0.6154, 0.7500)  4 Ru 2.39-2.61
Ga (0.1154, 0.3846, 0.2500)  4 Ru 2.39-2.61
Ge (0.1234, 0.8232, 0.4733)  5 Ru 2.45-2.72
Ge (0.3232, 0.6234, 0.9733)  5 Ru 2.45-2.72
Ge (0.8766, 0.1768, 0.5267)  5 Ru 2.45-2.72
Ge (0.6768, 0.3766, 0.0267)  5 Ru 2.45-2.72
Ru (0.2651, 0.2349, 0.7500)  2 Ga 2.39, 4 Ge 2.45-2.56
Ru (0.4602, 0.0398, 0.2500)  6 Ge 2.59-2.72, 2 Ga 2.61
Ru (0.5398, 0.9602, 0.7500)  6 Ge 2.59-2.72, 2 Ga 2.61
Ru (0.7349, 0.7651, 0.2500)  2 Ga 2.39, 4 Ge 2.45-2.56

No. 10
Here is an optimized crystal structure of MgReSi from Alexandria. Energies are from PBE-GGA.

* space-group type: No. 216
* formation energy (no corrections): 25 kJ/mol of atoms
* final energy: -6.233 eV per atom

abc: 4.1430 4.1430 4.1430
angles: 60.00 60.00 60.00
Last column: nearest neighbours and their distance in Å.
Atoms (fractional coordinates):
Mg (0.0000, 0.0000, 0.0000)  4 Si 2.54
Re (0.5000, 0.5000, 0.5000)  4 Si 2.54
Si (0.7500, 0.7500, 0.7500)  4 Re 2.54, 4 Mg 2.54

No. 11
Here is an optimized crystal structure of CoRe2Br from Alexandria. Energies are from PBE-GGA.

* space-group type: No. 99
* formation energy (no corrections): 65 kJ/mol of atoms
* final energy: -7.744 eV per atom
* ΔE to the lowest computed polymorph: 0.54 eV/f.u.

abc: 2.9970 2.9973 7.0064
angles: 90.00 90.00 90.00
Last column: nearest neighbours and their distance in Å.
Atoms (fractional coordinates):
Br (0.0000, 0.0000, 0.5212)  4 Co 2.70, 4 Br 3.00, 4 Re 3.01
Co (0.5000, 0.5000, 0.7602)  4 Br 2.70, 4 Re 2.72, 4 Co 3.00
Re (0.0000, 0.0000, 0.0030)  4 Re 2.59, 4 Co 2.72
Re (0.5000, 0.5000, 0.2155)  4 Re 2.59

No. 12
Here is an optimized crystal structure of SiRhW2 from Alexandria. Energies are from PBE-GGA.

* space-group type: No. 44
* formation energy (no corrections): -11 kJ/mol of atoms
* final energy: -9.786 eV per atom

abc: 5.2836 5.2836 5.2836
angles: 148.99 129.03 60.87
Last column: nearest neighbours and their distance in Å.
Atoms (fractional coordinates):
Rh (0.4710, 0.4710, 0.0000)  2 Si 2.39
Si (0.2587, 0.7587, 0.5000)  2 Rh 2.39, 6 W 2.54-2.68
W (0.0276, 0.0276, 0.0000)  2 Si 2.54, 4 Rh 2.73, 2 W 2.82
W (0.7426, 0.2426, 0.5000)  4 Si 2.68, 6 W 2.82-3.00, 2 Rh 2.85

No. 13
Here is an optimized crystal structure of TiTcNi2 from Alexandria. Energies are from PBE-GGA.

* space-group type: No. 225
* final energy: -7.512 eV per atom
* ΔE to the lowest computed polymorph: 0.88 eV/f.u.

abc: 4.2098 4.2098 4.2098
angles: 60.00 60.00 60.00
Last column: nearest neighbours and their distance in Å.
Atoms (fractional coordinates):
Ni (0.2500, 0.2500, 0.2500)  4 Tc 2.58, 4 Ti 2.58
Ni (0.7500, 0.7500, 0.7500)  4 Ti 2.58, 4 Tc 2.58
Tc (0.5000, 0.5000, 0.5000)  8 Ni 2.58
Ti (0.0000, 0.0000, 0.0000)  8 Ni 2.58